Material: Ga2Te3O9
Method: DFT, SCAN
State: single point on PBEsol structure

The structure belongs to space group P6_3/m (No. 176); the cell edges are 9.1079, 9.1079 and 7.4473 Å and the angles 90.00°, 90.00° and 120.00°. The inequivalent atoms are Ga at (0.3333, 0.6667, 0.0617), Te at (0.0400, 0.5533, 0.7500), O at (0.1438, 0.4894, 0.5667) and O at (0.1669, 0.6621, 0.2500).

The energy is -441.17 eV per cell. Its calculated volume is 535.0 Å³/cell. The density of states at the Fermi level comes out at 0.0 states/eV/cell. The calculation puts the uncorrected formation energy at -1.433 eV per atom.